Record 1
## HfBIr2 (PBE-GGA)

Data for HfBIr2 after structural relaxation.

Geometry as extended XYZ:
```
4
Lattice="0.000 3.084 3.084 3.084 0.000 3.084 3.084 3.084 0.000" Properties=species:S:1:pos:R:3 pbc="T T T"
Hf 1.542 1.542 1.542
Ir 0.000 0.000 0.000
Ir 4.626 4.626 4.626
B 3.084 3.084 3.084
```

Summary:
Space-group type: F-43m
Calculated density in g cm⁻³: 16.2

Record 2
## HfB4Ir (PBE-GGA)

Data for HfB4Ir after structural relaxation.

Geometry as extended XYZ:
```
6
Lattice="3.205 0.000 0.000 -1.603 2.776 0.000 0.000 0.000 6.340" Properties=species:S:1:pos:R:3 pbc="T T T"
Hf 0.000 0.000 0.000
B 1.603 0.925 4.680
B 0.000 1.850 4.680
B 1.603 0.925 1.660
B 0.000 1.850 1.660
Ir 0.000 0.000 3.170
```

Summary:
Space-group type: P6/mmm
Distance to the lowest polymorph of the same formula in eV per formula unit: 0.95
Calculated density in g cm⁻³: 12.2

Record 3
## HfNiBIr (PBE-GGA)

Data for HfNiBIr after structural relaxation.

Geometry as extended XYZ:
```
4
Lattice="0.000 2.953 2.953 2.953 0.000 2.953 2.953 2.953 0.000" Properties=species:S:1:pos:R:3 pbc="T T T"
Hf 4.429 4.429 4.429
B 0.000 0.000 0.000
Ni 2.953 2.953 2.953
Ir 1.476 1.476 1.476
```

Summary:
Space-group type: F-43m
Distance to the lowest polymorph of the same formula in eV per formula unit: 0.00
Calculated density in g cm⁻³: 14.2

Record 4
## HfNiBIr (PBE-GGA)

Data for HfNiBIr after structural relaxation.

Geometry as extended XYZ:
```
4
Lattice="0.000 3.024 3.024 3.024 0.000 3.024 3.024 3.024 0.000" Properties=species:S:1:pos:R:3 pbc="T T T"
B 0.000 0.000 0.000
Ni 4.536 4.536 4.536
Ir 3.024 3.024 3.024
Hf 1.512 1.512 1.512
```

Summary:
Space-group type: F-43m
Distance to the lowest polymorph of the same formula in eV per formula unit: 1.36
Calculated density in g cm⁻³: 13.2

Record 5
## KHfB4 (PBE-GGA)

Data for KHfB4 after structural relaxation.

Geometry as extended XYZ:
```
6
Lattice="-3.768 1.357 3.158 1.854 4.444 1.680 -1.869 -2.472 -4.050" Properties=species:S:1:pos:R:3 pbc="T T T"
B -4.355 0.768 0.666
B 0.573 2.561 0.122
B -1.492 2.153 -0.205
B -2.290 1.176 0.993
K -0.957 2.901 2.419
Hf 0.000 0.000 0.000
```

Summary:
Space-group type: Immm
Distance to the lowest polymorph of the same formula in eV per formula unit: 2.85
Calculated density in g cm⁻³: 6.2

Record 6
## KHfB4 (PBE-GGA)

Data for KHfB4 after structural relaxation.

Geometry as extended XYZ:
```
6
Lattice="-2.784 1.442 0.354 0.585 -1.682 -2.604 -3.068 -6.841 3.730" Properties=species:S:1:pos:R:3 pbc="T T T"
B -3.812 -4.397 1.984
B -2.577 -1.643 0.482
B -1.454 -2.685 -0.504
B -2.689 -5.438 0.998
Hf -1.534 -3.420 1.865
K 0.000 0.000 0.000
```

Summary:
Space-group type: P6/mmm
Distance to the lowest polymorph of the same formula in eV per formula unit: 0.00
Calculated density in g cm⁻³: 6.0

Record 7
## LaHfB4 (PBE-GGA)

Data for LaHfB4 after structural relaxation.

Geometry as extended XYZ:
```
6
Lattice="3.202 0.000 0.000 -1.601 2.773 0.000 0.000 0.000 7.897" Properties=species:S:1:pos:R:3 pbc="T T T"
B 1.601 0.924 2.248
B 0.000 1.849 2.248
B 1.601 0.924 5.649
B 0.000 1.849 5.649
La 0.000 0.000 0.000
Hf 0.000 0.000 3.948
```

Summary:
Space-group type: P6/mmm
Calculated density in g cm⁻³: 8.5

Record 8
## LiHfNiB (PBE-GGA)

Data for LiHfNiB after structural relaxation.

Geometry as extended XYZ:
```
4
Lattice="0.000 2.849 2.849 2.849 0.000 2.849 2.849 2.849 0.000" Properties=species:S:1:pos:R:3 pbc="T T T"
B 0.000 0.000 0.000
Hf 2.849 2.849 2.849
Ni 4.274 4.274 4.274
Li 1.425 1.425 1.425
```

Summary:
Space-group type: F-43m
Distance to the lowest polymorph of the same formula in eV per formula unit: 0.19
Calculated density in g cm⁻³: 9.2

Record 9
## LiHfNiB (PBE-GGA)

Data for LiHfNiB after structural relaxation.

Geometry as extended XYZ:
```
4
Lattice="1.360 -1.692 3.373 1.777 2.257 2.801 -1.857 0.702 3.486" Properties=species:S:1:pos:R:3 pbc="T T T"
B 0.320 0.317 2.415
Ni 0.639 0.633 4.830
Hf 0.000 0.000 0.000
Li 0.959 0.950 7.245
```

Summary:
Space-group type: F-43m
Distance to the lowest polymorph of the same formula in eV per formula unit: 0.00
Calculated density in g cm⁻³: 9.3

Record 10
## LiHfBPd (PBE-GGA)

Data for LiHfBPd after structural relaxation.

Geometry as extended XYZ:
```
4
Lattice="-3.978 -0.209 1.151 -2.922 1.838 -2.297 -2.672 -2.299 -2.183" Properties=species:S:1:pos:R:3 pbc="T T T"
B -2.393 -0.168 -0.832
Li -7.179 -0.503 -2.497
Hf 0.000 0.000 0.000
Pd -4.786 -0.335 -1.665
```

Summary:
Space-group type: F-43m
Distance to the lowest polymorph of the same formula in eV per formula unit: 0.00
Calculated density in g cm⁻³: 10.0

Record 11
## LiHfBPd (PBE-GGA)

Data for LiHfBPd after structural relaxation.

Geometry as extended XYZ:
```
4
Lattice="-1.957 -0.328 3.725 -4.085 1.005 0.333 -2.875 -3.028 0.614" Properties=species:S:1:pos:R:3 pbc="T T T"
Pd -2.229 -0.588 1.168
B -4.459 -1.175 2.336
Li -6.688 -1.763 3.505
Hf 0.000 0.000 0.000
```

Summary:
Space-group type: F-43m
Distance to the lowest polymorph of the same formula in eV per formula unit: 0.61
Calculated density in g cm⁻³: 9.5

Record 12
## LiHfBPd (PBE-GGA)

Data for LiHfBPd after structural relaxation.

Geometry as extended XYZ:
```
4
Lattice="1.755 -2.920 -2.617 2.260 -3.267 1.635 -1.586 -3.990 -0.137" Properties=species:S:1:pos:R:3 pbc="T T T"
B 0.000 0.000 0.000
Pd 1.214 -5.089 -0.559
Hf 0.607 -2.544 -0.280
Li 1.821 -7.633 -0.839
```

Summary:
Space-group type: F-43m
Distance to the lowest polymorph of the same formula in eV per formula unit: 0.46
Calculated density in g cm⁻³: 9.0

Record 13
## LiHfBPt (PBE-GGA)

Data for LiHfBPt after structural relaxation.

Geometry as extended XYZ:
```
4
Lattice="0.000 3.054 3.054 3.054 0.000 3.054 3.054 3.054 0.000" Properties=species:S:1:pos:R:3 pbc="T T T"
B 0.000 0.000 0.000
Li 4.581 4.581 4.581
Pt 3.054 3.054 3.054
Hf 1.527 1.527 1.527
```

Summary:
Space-group type: F-43m
Distance to the lowest polymorph of the same formula in eV per formula unit: 0.41
Calculated density in g cm⁻³: 11.4

Record 14
## LiHfBPt (PBE-GGA)

Data for LiHfBPt after structural relaxation.

Geometry as extended XYZ:
```
4
Lattice="1.702 -0.508 3.747 -2.325 0.417 3.407 -0.956 -3.330 2.277" Properties=species:S:1:pos:R:3 pbc="T T T"
Li -1.185 -2.566 7.073
B -0.395 -0.855 2.358
Hf 0.000 0.000 0.000
Pt -0.790 -1.711 4.716
```

Summary:
Space-group type: F-43m
Distance to the lowest polymorph of the same formula in eV per formula unit: 0.00
Calculated density in g cm⁻³: 12.9

Record 15
## LiHfBPt (PBE-GGA)

Data for LiHfBPt after structural relaxation.

Geometry as extended XYZ:
```
4
Lattice="-2.187 -3.356 1.408 -4.037 0.462 1.233 -3.138 -1.628 -2.352" Properties=species:S:1:pos:R:3 pbc="T T T"
Li -7.021 -3.392 0.217
Hf 0.000 0.000 0.000
Pt -2.340 -1.131 0.072
B -4.681 -2.261 0.145
```

Summary:
Space-group type: F-43m
Distance to the lowest polymorph of the same formula in eV per formula unit: 0.29
Calculated density in g cm⁻³: 12.0

Record 16
## Lu2HfB (PBE-GGA)

Data for Lu2HfB after structural relaxation.

Geometry as extended XYZ:
```
4
Lattice="-0.932 1.863 4.325 -4.147 2.286 0.786 -3.347 -1.996 2.802" Properties=species:S:1:pos:R:3 pbc="T T T"
Lu -6.319 1.614 5.935
Lu 0.000 0.000 0.000
Hf -2.106 0.538 1.978
B -4.213 1.076 3.956
```

Summary:
Space-group type: F-43m
Calculated density in g cm⁻³: 11.5

Record 17
## HfMg2B6 (PBE-GGA)

Data for HfMg2B6 after structural relaxation.

Geometry as extended XYZ:
```
36
Lattice="-1.505 -5.601 -7.073 9.243 -5.996 2.781 -2.011 -2.123 2.109" Properties=species:S:1:pos:R:3 pbc="T T T"
B 4.697 -7.215 0.299
B 4.787 -9.438 -1.852
B 3.205 -8.650 -2.569
B 0.940 -4.281 -0.331
B 5.527 -5.466 2.852
B 0.230 -4.984 -1.716
B 2.522 -5.069 0.385
B -1.451 -5.780 -4.120
B 2.760 -9.753 -4.104
B 0.022 -6.974 -3.918
B 2.967 -3.965 1.920
B 0.446 -2.837 0.652
B 0.200 -8.253 -5.035
B 3.242 -6.497 -0.366
B 6.632 -11.984 -2.656
B 5.281 -10.882 -2.836
B -0.905 -1.734 0.473
B 5.498 -8.735 -0.467
B -1.259 -4.513 -2.661
B 1.030 -6.504 -2.482
B 5.705 -6.745 1.734
B 6.986 -9.206 0.478
B 7.178 -7.939 1.937
B 2.485 -7.222 -1.818
Hf 4.979 -8.877 -4.186
Hf 7.054 -6.934 -0.252
Hf 0.685 -4.663 -4.040
Hf 2.759 -2.720 -0.106
Mg 4.902 -6.809 -2.179
Mg 0.349 -2.296 -1.978
Mg 2.836 -4.787 -2.114
Mg 8.054 -5.565 2.080
Mg -0.316 -6.031 -6.372
Mg 7.389 -9.300 -2.314
Mg 2.573 -7.027 -4.619
Mg 5.166 -4.570 0.327
```

Summary:
Space-group type: Pbam
Calculated density in g cm⁻³: 5.2

Record 18
## Hf2MgB (PBE-GGA)

Data for Hf2MgB after structural relaxation.

Geometry as extended XYZ:
```
4
Lattice="-3.144 -0.037 3.389 -3.416 3.114 0.018 -4.339 -1.324 -0.887" Properties=species:S:1:pos:R:3 pbc="T T T"
Hf 0.000 0.000 0.000
Hf -8.174 1.315 1.890
B -5.450 0.877 1.260
Mg -2.725 0.438 0.630
```

Summary:
Space-group type: F-43m
Calculated density in g cm⁻³: 9.3

Record 19
## HfB2Mo (PBE-GGA)

Data for HfB2Mo after structural relaxation.

Geometry as extended XYZ:
```
4
Lattice="0.000 2.940 2.940 2.940 0.000 2.940 2.940 2.940 0.000" Properties=species:S:1:pos:R:3 pbc="T T T"
B 1.470 1.470 1.470
B 0.000 0.000 0.000
Hf 4.411 4.411 4.411
Mo 2.940 2.940 2.940
```

Summary:
Space-group type: F-43m
Calculated density in g cm⁻³: 9.7

Record 20
## HfB4Mo (PBE-GGA)

Data for HfB4Mo after structural relaxation.

Geometry as extended XYZ:
```
6
Lattice="1.183 2.921 3.311 -2.130 3.588 -1.866 -0.946 -4.045 1.907" Properties=species:S:1:pos:R:3 pbc="T T T"
Hf -0.474 3.254 0.722
B -1.815 1.589 -0.484
B -0.079 0.874 3.836
B -1.737 1.216 1.249
B -0.157 1.248 2.103
Mo 0.000 0.000 0.000
```

Summary:
Space-group type: Immm
Distance to the lowest polymorph of the same formula in eV per formula unit: 0.00
Calculated density in g cm⁻³: 9.4

Record 21
## HfB4Mo (PBE-GGA)

Data for HfB4Mo after structural relaxation.

Geometry as extended XYZ:
```
6
Lattice="-1.069 -2.859 -0.607 0.533 0.870 2.941 -6.273 2.245 0.473" Properties=species:S:1:pos:R:3 pbc="T T T"
Hf 0.000 0.000 0.000
B -5.203 0.055 0.928
B -4.669 1.298 2.110
B -2.140 -1.042 0.696
B -1.606 0.201 1.879
Mo -3.136 1.123 0.237
```

Summary:
Space-group type: P6/mmm
Distance to the lowest polymorph of the same formula in eV per formula unit: 0.16
Calculated density in g cm⁻³: 9.4

Record 22
## Hf2BMo (PBE-GGA)

Data for Hf2BMo after structural relaxation.

Geometry as extended XYZ:
```
4
Lattice="2.530 -1.704 3.274 -1.926 -1.660 3.683 0.025 -4.413 0.743" Properties=species:S:1:pos:R:3 pbc="T T T"
B 0.315 -3.888 3.850
Hf 0.000 0.000 0.000
Hf 0.472 -5.832 5.774
Mo 0.157 -1.944 1.925
```

Summary:
Space-group type: F-43m
Calculated density in g cm⁻³: 12.2

Record 23
## Hf9BMo4 (PBE-GGA)

Data for Hf9BMo4 after structural relaxation.

Geometry as extended XYZ:
```
28
Lattice="-4.317 5.723 4.670 -4.238 -5.771 -4.682 0.020 -5.374 6.606" Properties=species:S:1:pos:R:3 pbc="T T T"
Hf -4.245 -5.819 0.158
Hf -5.867 -6.706 2.796
Hf -4.259 -4.517 4.572
Hf -5.933 -1.502 -0.594
Hf -4.289 0.397 6.435
Hf -5.925 -3.592 1.975
Hf -2.604 -1.483 -0.589
Hf -2.610 -1.830 4.618
Hf -4.253 -3.729 -2.411
Hf -2.596 -3.574 1.980
Hf -2.622 -6.688 2.801
Hf -2.668 1.284 3.797
Hf -2.602 -3.920 7.187
Hf -4.276 -0.905 2.021
Hf -5.913 1.265 3.792
Hf -5.938 -1.849 4.613
Hf -5.931 -3.939 7.182
Hf -4.281 -1.694 9.004
Mo -4.232 -8.521 1.314
Mo 0.000 0.000 0.000
Mo 0.010 -2.687 3.303
Mo -7.106 -4.711 4.423
Mo -7.125 -0.743 2.162
Mo -1.429 -0.711 2.170
Mo -4.303 3.099 5.279
Mo -1.410 -4.679 4.431
B -4.259 -3.283 0.086
B -4.275 -2.139 6.506
```

Summary:
Space-group type: P6_3/mmc
Calculated density in g cm⁻³: 12.3

Record 24
## HfNiBMo (PBE-GGA)

Data for HfNiBMo after structural relaxation.

Geometry as extended XYZ:
```
4
Lattice="0.000 2.991 2.991 2.991 0.000 2.991 2.991 2.991 0.000" Properties=species:S:1:pos:R:3 pbc="T T T"
B 0.000 0.000 0.000
Ni 2.991 2.991 2.991
Mo 4.486 4.486 4.486
Hf 1.495 1.495 1.495
```

Summary:
Space-group type: F-43m
Distance to the lowest polymorph of the same formula in eV per formula unit: 0.00
Calculated density in g cm⁻³: 10.7

Record 25
## HfNiBMo (PBE-GGA)

Data for HfNiBMo after structural relaxation.

Geometry as extended XYZ:
```
4
Lattice="3.574 -1.366 -1.958 0.653 -4.207 -0.590 -0.221 -1.676 -3.952" Properties=species:S:1:pos:R:3 pbc="T T T"
B 0.000 0.000 0.000
Ni 3.005 -5.437 -4.874
Mo 2.004 -3.625 -3.250
Hf 1.002 -1.812 -1.625
```

Summary:
Space-group type: F-43m
Distance to the lowest polymorph of the same formula in eV per formula unit: 2.51
Calculated density in g cm⁻³: 10.2

Record 26
## HfNiBMo (PBE-GGA)

Data for HfNiBMo after structural relaxation.

Geometry as extended XYZ:
```
4
Lattice="0.000 2.999 2.999 2.999 0.000 2.999 2.999 2.999 0.000" Properties=species:S:1:pos:R:3 pbc="T T T"
Ni 4.498 4.498 4.498
B 0.000 0.000 0.000
Hf 2.999 2.999 2.999
Mo 1.499 1.499 1.499
```

Summary:
Space-group type: F-43m
Distance to the lowest polymorph of the same formula in eV per formula unit: 1.59
Calculated density in g cm⁻³: 10.6

Record 27
## NaHfB (PBE-GGA)

Data for NaHfB after structural relaxation.

Geometry as extended XYZ:
```
3
Lattice="0.000 2.936 2.936 2.936 0.000 2.936 2.936 2.936 0.000" Properties=species:S:1:pos:R:3 pbc="T T T"
B 0.000 0.000 0.000
Na 4.404 4.404 4.404
Hf 1.468 1.468 1.468
```

Summary:
Space-group type: F-43m
Distance to the lowest polymorph of the same formula in eV per formula unit: 0.00
Calculated density in g cm⁻³: 7.0

Calculated total energy for every record listed, in sequence, given in hartree per atom: -0.306, -0.290, -0.291, -0.278, -0.224, -0.242, -0.279, -0.223, -0.225, -0.225, -0.219, -0.220, -0.233, -0.237, -0.235, -0.209, -0.223, -0.224, -0.271, -0.316, -0.315, -0.324, -0.373, -0.300, -0.277, -0.285, -0.198.